Entry 1:
VASP calculation (GGA-PBE) on a geometry-optimized PmTl2AsSe4 structure.

a b c (Å): 8.6574 8.6574 8.6921
angles (deg): 120.13 120.13 90.15
With the nearest neighbours (Å) after each atom.
Positions (direct):
Pm  0.0000  0.5000  0.0000  6 Se 2.95-2.97
Pm  0.0000  0.5000  0.5000  6 Se 2.95-2.97
Tl  0.5000  0.0000  0.0000  6 Se 3.19
Tl  0.5000  0.0000  0.5000  6 Se 3.19
Tl  0.0000  0.0000  0.5000  6 Se 3.31-3.34
Tl  0.5000  0.5000  0.0000  6 Se 3.31-3.34
As  0.5000  0.5000  0.5000  6 Se 2.80-2.83
As  0.0000  0.0000  0.0000  6 Se 2.80-2.83
Se  0.2073  0.7517  0.9795  1 As 2.80, 2 Pm 2.95
Se  0.7483  0.2927  0.5205  1 As 2.80, 2 Pm 2.95
Se  0.2517  0.7073  0.4795  1 As 2.80, 2 Pm 2.95
Se  0.7927  0.2483  0.0205  1 As 2.80, 2 Pm 2.95
Se  0.7589  0.7411  0.9608  2 As 2.83, 1 Pm 2.97
Se  0.7589  0.7411  0.5392  2 As 2.83, 1 Pm 2.97
Se  0.2411  0.2589  0.4608  2 As 2.83, 1 Pm 2.97
Se  0.2411  0.2589  0.0392  2 As 2.83, 1 Pm 2.97

Output
Space-group type ... No. 74
E_form (uncorrected) ... -0.7386 eV/atom



Entry 2:
VASP calculation (GGA-PBE) on a geometry-optimized PmZnAsSe structure.

a b c (Å): 4.2553 4.2553 14.0858
angles (deg): 81.31 81.31 60.00
With the nearest neighbours (Å) after each atom.
Positions (direct):
Pm  0.0884  0.0884  0.7349  3 Se 2.83
Pm  0.9116  0.9116  0.2651  3 Se 2.83
Zn  0.6891  0.6891  0.9326  4 As 2.57-2.61
Zn  0.3109  0.3109  0.0674  4 As 2.57-2.61
As  0.6264  0.6264  0.1208  4 Zn 2.57-2.61
As  0.3736  0.3736  0.8792  4 Zn 2.57-2.61
Se  0.7886  0.7886  0.6342  3 Pm 2.83
Se  0.2114  0.2114  0.3658  3 Pm 2.83

Output
Space-group type ... No. 166
E_form (uncorrected) ... -1.0487 eV/atom



Entry 3:
VASP calculation (GGA-PBE) on a geometry-optimized Pm5Si2As structure.

a b c (Å): 7.7374 7.7374 8.8404
angles (deg): 115.95 115.95 90.00
With the nearest neighbours (Å) after each atom.
Positions (direct):
Pm  0.5288  0.6823  0.7111  3 Si 3.03-3.05, 2 As 3.22, 1 Pm 3.38
Pm  0.8177  0.9712  0.2889  3 Si 3.03-3.05, 2 As 3.22, 1 Pm 3.38
Pm  0.0000  0.0000  0.0000  4 Si 3.09
Pm  0.5000  0.5000  0.0000  4 Si 3.09
Pm  0.1823  0.0288  0.7111  3 Si 3.03-3.05, 2 As 3.22, 1 Pm 3.38
Pm  0.6823  0.1823  0.7111  3 Si 3.03-3.05, 2 As 3.22, 1 Pm 3.38
Pm  0.0288  0.5288  0.7111  3 Si 3.03-3.05, 2 As 3.22, 1 Pm 3.38
Pm  0.3177  0.8177  0.2889  3 Si 3.03-3.05, 2 As 3.22, 1 Pm 3.38
Pm  0.9712  0.4712  0.2889  3 Si 3.03-3.05, 2 As 3.22, 1 Pm 3.38
Pm  0.4712  0.3177  0.2889  3 Si 3.03-3.05, 2 As 3.22, 1 Pm 3.38
Si  0.1190  0.3810  0.0000  1 Si 2.60
Si  0.6190  0.1190  0.0000  1 Si 2.60
Si  0.3810  0.8810  0.0000  1 Si 2.60
Si  0.8810  0.6190  0.0000  1 Si 2.60
As  0.7500  0.7500  0.5000  10 Pm 3.22-3.47
As  0.2500  0.2500  0.5000  10 Pm 3.22-3.47

Output
Space-group type ... No. 140
E_form (uncorrected) ... -0.7474 eV/atom



Entry 4:
VASP calculation (GGA-PBE) on a geometry-optimized Pm4SiAs structure.

a b c (Å): 7.1679 7.2008 7.1448
angles (deg): 90.00 89.15 90.00
With the nearest neighbours (Å) after each atom.
Positions (direct):
Pm  0.8391  0.6573  0.1599  2 As 2.93-2.95, 1 Si 2.93
Pm  0.6609  0.1573  0.8401  2 As 2.93-2.95, 1 Si 2.93
Pm  0.3443  0.3398  0.3443  2 Si 2.92-2.93, 1 As 2.92
Pm  0.1557  0.8398  0.6557  2 Si 2.92-2.93, 1 As 2.92
Pm  0.1609  0.3427  0.8401  2 As 2.93-2.95, 1 Si 2.93
Pm  0.3391  0.8427  0.1599  2 As 2.93-2.95, 1 Si 2.93
Pm  0.6557  0.6602  0.6557  2 Si 2.92-2.93, 1 As 2.92
Pm  0.8443  0.1602  0.3443  2 Si 2.92-2.93, 1 As 2.92
Si  0.5000  0.0000  0.5000  6 Pm 2.92-2.93
Si  0.0000  0.5000  0.5000  6 Pm 2.92-2.93
As  0.0000  0.0000  0.0000  6 Pm 2.92-2.95
As  0.5000  0.5000  0.0000  6 Pm 2.92-2.95

Output
Space-group type ... No. 14
E_form (uncorrected) ... -0.5599 eV/atom



Entry 5:
VASP calculation (GGA-PBE) on a geometry-optimized PmSiAs structure.

a b c (Å): 4.0709 5.5647 8.6886
angles (deg): 120.47 90.00 111.46
With the nearest neighbours (Å) after each atom.
Positions (direct):
As  0.2325  0.4650  0.1817  1 Si 2.37
As  0.7675  0.5350  0.8183  1 Si 2.37
Si  0.3144  0.6288  0.4945  1 As 2.37, 2 Si 2.46
Si  0.6856  0.3712  0.5055  1 As 2.37, 2 Si 2.46
Pm  0.0470  0.0940  0.7888  4 As 2.86-3.04, 3 Si 3.13-3.17
Pm  0.9530  0.9060  0.2112  4 As 2.86-3.04, 3 Si 3.13-3.17

Output
Space-group type ... No. 12
E_form (uncorrected) ... -0.6554 eV/atom



Entry 6:
VASP calculation (GGA-PBE) on a geometry-optimized Pm5Si2As2 structure.

a b c (Å): 7.8138 7.8859 8.4412
angles (deg): 90.00 62.43 90.00
With the nearest neighbours (Å) after each atom.
Positions (direct):
Pm  0.0000  0.0000  0.0000  2 As 3.02, 4 Si 3.14-3.16
Pm  0.5000  0.5000  0.0000  2 As 3.02, 4 Si 3.14-3.16
Pm  0.4634  0.1692  0.7253  3 As 3.03-3.10, 3 Si 3.08-3.13
Pm  0.8114  0.8308  0.7253  3 As 3.03-3.10, 3 Si 3.08-3.13
Pm  0.3113  0.6692  0.7253  3 As 3.03-3.10, 3 Si 3.08-3.13
Pm  0.9634  0.3308  0.7253  3 As 3.03-3.10, 3 Si 3.08-3.13
Pm  0.5366  0.8308  0.2747  3 As 3.03-3.10, 3 Si 3.08-3.13
Pm  0.1887  0.1692  0.2747  3 As 3.03-3.10, 3 Si 3.08-3.13
Pm  0.6886  0.3308  0.2747  3 As 3.03-3.10, 3 Si 3.08-3.13
Pm  0.0366  0.6692  0.2747  3 As 3.03-3.10, 3 Si 3.08-3.13
Si  0.1153  0.3841  0.0000  1 Si 2.57
Si  0.8847  0.6159  0.0000  1 Si 2.57
Si  0.3847  0.8841  0.0000  1 Si 2.57
Si  0.6153  0.1159  0.0000  1 Si 2.57
As  0.2019  0.0000  0.5961  7 Pm 3.02-3.10
As  0.7019  0.5000  0.5961  7 Pm 3.02-3.10
As  0.7981  0.0000  0.4039  7 Pm 3.02-3.10
As  0.2981  0.5000  0.4039  7 Pm 3.02-3.10

Output
Space-group type ... No. 64
E_form (uncorrected) ... -1.0399 eV/atom



Entry 7:
VASP calculation (GGA-PBE) on a geometry-optimized PmSiAs2 structure.

a b c (Å): 4.0303 4.5569 4.5569
angles (deg): 90.00 90.00 90.00
With the nearest neighbours (Å) after each atom.
Positions (direct):
As  0.0000  0.0000  0.5000  4 Pm 3.04, 4 Si 3.04, 4 As 3.22
As  0.0000  0.5000  0.0000  4 Pm 3.04, 4 Si 3.04, 4 As 3.22
Si  0.5000  0.5000  0.5000  8 As 3.04, 4 Pm 3.22
Pm  0.5000  0.0000  0.0000  8 As 3.04, 4 Si 3.22

Output
Space-group type ... No. 123
E_form (uncorrected) ... -0.3933 eV/atom



Entry 8:
VASP calculation (GGA-PBE) on a geometry-optimized Pm12Si6As structure.

a b c (Å): 8.7520 8.7520 8.7520
angles (deg): 109.47 109.47 109.47
With the nearest neighbours (Å) after each atom.
Positions (direct):
Pm  0.2934  0.1048  0.8114  3 Si 2.88-3.06
Pm  0.2934  0.4819  0.1886  3 Si 2.88-3.06
Pm  0.7066  0.5181  0.8114  3 Si 2.88-3.06
Pm  0.7066  0.8952  0.1886  3 Si 2.88-3.06
Pm  0.1048  0.8114  0.2934  3 Si 2.88-3.06
Pm  0.4819  0.1886  0.2934  3 Si 2.88-3.06
Pm  0.5181  0.8114  0.7066  3 Si 2.88-3.06
Pm  0.8952  0.1886  0.7066  3 Si 2.88-3.06
Pm  0.8114  0.2934  0.1048  3 Si 2.88-3.06
Pm  0.1886  0.2934  0.4819  3 Si 2.88-3.06
Pm  0.8114  0.7066  0.5181  3 Si 2.88-3.06
Pm  0.1886  0.7066  0.8952  3 Si 2.88-3.06
Si  0.3846  0.5000  0.8846  1 Si 2.33
Si  0.6154  0.5000  0.1154  1 Si 2.33
Si  0.5000  0.8846  0.3846  1 Si 2.33
Si  0.5000  0.1154  0.6154  1 Si 2.33
Si  0.8846  0.3846  0.5000  1 Si 2.33
Si  0.1154  0.6154  0.5000  1 Si 2.33
As  0.0000  0.0000  0.0000  12 Pm 3.52

Output
Space-group type ... No. 204
E_form (uncorrected) ... -0.5612 eV/atom



Entry 9:
VASP calculation (GGA-PBE) on a geometry-optimized Pm6SiTe3As2 structure.

a b c (Å): 4.3171 8.8137 9.8220
angles (deg): 104.59 102.70 90.00
With the nearest neighbours (Å) after each atom.
Positions (direct):
Pm  0.3420  0.9038  0.6839  1 Si 2.93, 2 As 2.98, 3 Te 3.21-3.23
Pm  0.6727  0.5676  0.3453  3 As 2.96-2.97, 3 Te 3.20-3.21
Pm  0.6580  0.0962  0.3161  1 Si 2.93, 2 As 2.98, 3 Te 3.21-3.23
Pm  0.0050  0.2311  0.0099  2 Si 2.95, 1 As 3.00, 3 Te 3.22-3.23
Pm  0.9950  0.7689  0.9901  2 Si 2.95, 1 As 3.00, 3 Te 3.22-3.23
Pm  0.3273  0.4324  0.6547  3 As 2.96-2.97, 3 Te 3.20-3.21
Si  0.5000  0.0000  0.0000  6 Pm 2.93-2.95
Te  0.5000  0.5000  0.0000  6 Pm 3.21-3.23
Te  0.8320  0.1669  0.6640  6 Pm 3.20-3.23
Te  0.1680  0.8331  0.3360  6 Pm 3.20-3.23
As  0.8330  0.6658  0.6661  6 Pm 2.96-3.00
As  0.1670  0.3342  0.3339  6 Pm 2.96-3.00

Output
Space-group type ... No. 12
E_form (uncorrected) ... -1.4161 eV/atom



Entry 10:
VASP calculation (GGA-PBE) on a geometry-optimized Pm8Si3Te4As structure.

a b c (Å): 8.6511 8.8241 8.6518
angles (deg): 119.35 120.00 90.00
With the nearest neighbours (Å) after each atom.
Positions (direct):
Pm  0.2421  0.7215  0.9795  2 Si 2.96, 1 As 2.99, 3 Te 3.20-3.23
Pm  0.2418  0.7213  0.4837  2 Si 2.96, 1 As 2.99, 3 Te 3.20-3.22
Pm  0.2588  0.2765  0.5175  3 Si 2.98, 3 Te 3.21
Pm  0.7373  0.7215  0.9795  2 Si 2.96, 1 As 2.99, 3 Te 3.20-3.23
Pm  0.2627  0.2785  0.0205  2 Si 2.96, 1 As 2.99, 3 Te 3.20-3.23
Pm  0.7412  0.7235  0.4825  3 Si 2.98, 3 Te 3.21
Pm  0.7582  0.2787  0.5163  2 Si 2.96, 1 As 2.99, 3 Te 3.20-3.22
Pm  0.7579  0.2785  0.0205  2 Si 2.96, 1 As 2.99, 3 Te 3.20-3.23
Si  0.5000  0.5000  0.0000  6 Pm 2.96-2.98
Si  0.5000  0.5000  0.5000  6 Pm 2.96-2.98
Si  0.0000  0.5000  0.5000  6 Pm 2.96-2.98
Te  0.5000  0.0000  0.0000  6 Pm 3.20
Te  0.5000  0.0000  0.5000  6 Pm 3.21-3.23
Te  0.0000  0.0000  0.0000  6 Pm 3.21-3.23
Te  0.0000  0.0000  0.5000  6 Pm 3.21-3.23
As  0.0000  0.5000  0.0000  6 Pm 2.99

Output
Space-group type ... No. 166
E_form (uncorrected) ... -1.2423 eV/atom



Entry 11:
VASP calculation (GGA-PBE) on a geometry-optimized PmSmAs structure.

a b c (Å): 4.9434 4.9434 4.9434
angles (deg): 60.00 60.00 60.00
With the nearest neighbours (Å) after each atom.
Positions (direct):
As  0.2500  0.2500  0.2500  4 Sm 3.03, 4 Pm 3.03
Sm  0.0000  0.0000  0.0000  4 As 3.03
Pm  0.5000  0.5000  0.5000  4 As 3.03

Output
E_form ... -0.826 eV per atom
Space-group type ... No. 216
Offset from the most stable computed form ... 81.4 meV per atom



Entry 12:
VASP calculation (GGA-PBE) on a geometry-optimized PmSmAs structure.

a b c (Å): 4.3753 4.3753 8.4170
angles (deg): 90.00 90.00 90.00
With the nearest neighbours (Å) after each atom.
Positions (direct):
Pm  0.3363  0.8363  0.8593  5 As 3.06-3.17
Pm  0.8363  0.3363  0.1407  5 As 3.06-3.17
As  0.3363  0.8363  0.2223  5 Pm 3.06-3.17, 4 Sm 3.20
As  0.8363  0.3363  0.7777  5 Pm 3.06-3.17, 4 Sm 3.20
Sm  0.8367  0.8367  0.5000  4 Sm 3.09, 4 As 3.20
Sm  0.3367  0.3367  0.5000  4 Sm 3.09, 4 As 3.20

Output
E_form ... -0.908 eV per atom
Space-group type ... No. 129
Offset from the most stable computed form ... 0.0 meV per atom